Entry 1:
The following is a DFT calculation (PBE-GGA) of a relaxed HfMg2Mn crystal.

Structure (POSCAR):
```
HfMg2Mn
1.0
6.569 0.000 0.000
0.000 6.569 0.000
0.000 0.000 6.569
Hf Mg Mn
4 8 4
Direct
0.000 0.000 0.000
0.000 0.500 0.500
0.500 0.000 0.500
0.500 0.500 0.000
0.250 0.250 0.250
0.250 0.250 0.750
0.250 0.750 0.250
0.250 0.750 0.750
0.750 0.250 0.250
0.750 0.250 0.750
0.750 0.750 0.250
0.750 0.750 0.750
0.000 0.000 0.500
0.000 0.500 0.000
0.500 0.000 0.000
0.500 0.500 0.500
```

Calculated values
Relative energy among the computed polymorphs, kJ/mol of atoms: 0.0
Total moment, μB per cell: 0.0
Electronic total energy, eV/cell: -79.91
D(E_F), states/eV/atom: 1.5541
Space group: Fm-3m
ΔE_f, eV per formula unit: 2.33

=====

Entry 2:
The following is a DFT calculation (PBE-GGA) of a relaxed HfMg6Mn crystal.

Structure (POSCAR):
```
HfMg6Mn
1.0
4.984 0.000 0.000
0.000 6.034 0.000
0.000 0.000 11.247
Hf Mg Mn
2 12 2
Direct
0.000 0.000 0.000
0.000 0.500 0.500
0.000 0.250 0.246
0.000 0.250 0.746
0.000 0.750 0.246
0.000 0.750 0.746
0.500 0.000 0.155
0.500 0.000 0.637
0.500 0.249 0.906
0.500 0.251 0.406
0.500 0.500 0.137
0.500 0.500 0.655
0.500 0.749 0.406
0.500 0.751 0.906
0.000 0.000 0.483
0.000 0.500 0.983
```

Calculated values
Relative energy among the computed polymorphs, kJ/mol of atoms: 3.0
Total moment, μB per cell: 6.1
Electronic total energy, eV/cell: -54.50
D(E_F), states/eV/atom: 0.7558
Space group: Amm2
ΔE_f, eV per formula unit: 1.44

=====

Entry 3:
The following is a DFT calculation (PBE-GGA) of a relaxed HfMg2Mn crystal.

Structure (POSCAR):
```
HfMg2Mn
1.0
3.811 0.000 0.000
0.000 3.811 0.000
0.000 0.000 20.863
Hf Mg Mn
4 8 4
Direct
0.000 0.000 0.000
0.000 0.500 0.250
0.500 0.000 0.750
0.500 0.500 0.500
0.237 0.250 0.625
0.250 0.737 0.875
0.250 0.763 0.375
0.263 0.250 0.125
0.737 0.750 0.125
0.750 0.237 0.375
0.750 0.263 0.875
0.763 0.750 0.625
0.000 0.000 0.500
0.000 0.500 0.750
0.500 0.000 0.250
0.500 0.500 0.000
```

Calculated values
Relative energy among the computed polymorphs, kJ/mol of atoms: 5.7
Total moment, μB per cell: 0.0
Electronic total energy, eV/cell: -78.96
D(E_F), states/eV/atom: 1.4072
Space group: I-42d
ΔE_f, eV per formula unit: 2.57

=====

Entry 4:
The following is a DFT calculation (PBE-GGA) of a relaxed Hf2MgMn4 crystal.

Structure (POSCAR):
```
Hf2MgMn4
1.0
4.395 0.000 0.000
0.000 4.395 0.000
0.000 0.000 13.991
Hf Mg Mn
4 2 8
Direct
0.000 0.000 0.109
0.000 0.000 0.891
0.500 0.500 0.391
0.500 0.500 0.609
0.000 0.000 0.500
0.500 0.500 0.000
0.000 0.000 0.318
0.000 0.000 0.682
0.000 0.500 0.000
0.000 0.500 0.500
0.500 0.000 0.000
0.500 0.000 0.500
0.500 0.500 0.182
0.500 0.500 0.818
```

Calculated values
Total moment, μB per cell: 19.3
Electronic total energy, eV/cell: -102.72
D(E_F), states/eV/atom: 1.2227
Space group: I4/mmm
ΔE_f, eV per formula unit: 6.82

=====

Entry 5:
The following is a DFT calculation (PBE-GGA) of a relaxed Hf2MgMn2 crystal.

Structure (POSCAR):
```
Hf2MgMn2
1.0
7.215 0.000 0.000
0.000 7.215 0.000
0.000 0.000 3.453
Hf Mg Mn
4 2 4
Direct
0.164 0.336 0.000
0.336 0.836 0.000
0.664 0.164 0.000
0.836 0.664 0.000
0.000 0.000 0.500
0.500 0.500 0.500
0.127 0.627 0.500
0.373 0.127 0.500
0.627 0.873 0.500
0.873 0.373 0.500
```

Calculated values
Relative energy among the computed polymorphs, kJ/mol of atoms: 0.0
Total moment, μB per cell: 7.6
Electronic total energy, eV/cell: -79.38
D(E_F), states/eV/atom: 0.9008
Space group: P4/mbm
ΔE_f, eV per formula unit: 0.15